No. 1
Computed, not measured: crystalline SiHgGeOs2 at its relaxed geometry at the PBE level of DFT.

Cell and atoms, written as POSCAR:
```
SiHgGeOs2
1.0
5.059 0.000 0.000
0.000 5.059 0.000
0.000 0.000 4.581
Si Hg Ge Os
1 1 1 2
Direct
0.000 0.000 0.000
0.000 0.000 0.500
0.500 0.500 0.000
0.000 0.500 0.500
0.500 0.000 0.500
```

## Properties
E in eV for the cell shown: -20.062
Raw formation energy in eV per atom: 2.5479
Theoretical density in g cm⁻³: 9.66

=====

No. 2
Computed, not measured: crystalline VGa2Co at its relaxed geometry at the PBE level of DFT.

Cell and atoms, written as POSCAR:
```
VGa2Co
1.0
1.386 0.800 8.183
-1.386 0.800 8.183
0.000 -1.601 8.183
V Ga Co
1 2 1
Direct
0.000 0.000 0.000
0.245 0.245 0.245
0.422 0.422 0.422
0.834 0.834 0.834
```

## Properties
E in eV for the cell shown: -22.621
Theoretical density in g cm⁻³: 7.60
Energy of formation in eV/atom: -0.086

=====

No. 3
Computed, not measured: crystalline ScMnHg2Br at its relaxed geometry at the PBE level of DFT.

Cell and atoms, written as POSCAR:
```
ScMnHg2Br
1.0
5.220 0.000 0.000
0.000 5.220 0.000
0.000 0.000 4.838
Sc Mn Hg Br
1 1 2 1
Direct
0.000 0.000 0.000
0.500 0.500 0.500
0.000 0.500 0.500
0.500 0.000 0.500
0.500 0.500 0.000
```

## Properties
E in eV for the cell shown: -16.248
Raw formation energy in eV per atom: 0.3058
Theoretical density in g cm⁻³: 7.32

=====

No. 4
Computed, not measured: crystalline LaTe2As at its relaxed geometry at the PBE level of DFT.

Cell and atoms, written as POSCAR:
```
LaTe2As
1.0
-2.243 2.243 11.832
2.243 -2.243 11.832
2.243 2.243 -11.832
La Te As
2 4 2
Direct
0.000 0.000 0.000
0.750 0.250 0.500
0.128 0.625 0.003
0.375 0.378 0.503
0.622 0.125 0.997
0.875 0.872 0.497
0.250 0.750 0.500
0.500 0.500 0.000
```

## Properties
E in eV for the cell shown: -36.994
Raw formation energy in eV per atom: -0.6592
Theoretical density in g cm⁻³: 6.54

=====

No. 5
Computed, not measured: crystalline SrAlGa4Cu2 at its relaxed geometry at the PBE level of DFT.

Cell and atoms, written as POSCAR:
```
SrAlGa4Cu2
1.0
2.170 1.253 9.438
-2.170 1.253 9.438
0.000 -2.506 9.438
Sr Al Ga Cu
1 1 4 2
Direct
0.000 0.000 0.000
0.500 0.500 0.500
0.124 0.124 0.124
0.405 0.405 0.405
0.595 0.595 0.595
0.876 0.876 0.876
0.223 0.223 0.223
0.777 0.777 0.777
```

## Properties
E in eV for the cell shown: -26.993
Theoretical density in g cm⁻³: 5.61
Energy of formation in eV/atom: -0.159

=====

No. 6
Computed, not measured: crystalline NbAg3Se at its relaxed geometry at the PBE level of DFT.

Cell and atoms, written as POSCAR:
```
NbAg3Se
1.0
4.977 0.000 0.000
0.000 4.977 0.000
0.000 0.000 4.977
Nb Ag Se
1 3 1
Direct
0.000 0.000 0.000
0.000 0.500 0.500
0.500 0.000 0.500
0.500 0.500 0.000
0.500 0.500 0.500
```

## Properties
E in eV for the cell shown: -16.814
Raw formation energy in eV per atom: 1.0587
Theoretical density in g cm⁻³: 6.67